[1]
Below is SmPaPN2 after structural relaxation, with properties calculated at the PBE-GGA level.

## Properties
Raw formation energy in eV/atom: -1.30
Uncorrected energy in eV per atom: -8.55
Size of the total moment in μB per cell: 0.0
V in Å³ per cell: 93
Space-group type: I4mm (107)

a b c (Å): 3.868 3.868 6.796
angles (deg): 106.53 106.53 90.00
Positions (direct):
Sm1 0.850 0.850 0.700
Pa1 0.161 0.161 0.321
P1 0.507 0.507 0.014
N1 0.741 0.241 0.483
N2 0.241 0.741 0.483

[2]
Below is SmPa3P4N12 after structural relaxation, with properties calculated at the PBE-GGA level.

## Properties
Raw formation energy in eV/atom: -0.86
Uncorrected energy in eV per atom: -8.59
Size of the total moment in μB per cell: 0.0
V in Å³ per cell: 297
Space-group type: R32 (155)

a b c (Å): 6.911 6.911 6.911
angles (deg): 103.55 103.55 103.55
Positions (direct):
Sm1 0.000 0.000 0.000
Pa1 0.540 0.460 0.000
Pa2 0.460 0.000 0.540
Pa3 0.000 0.540 0.460
P1 0.959 0.041 0.500
P2 0.041 0.500 0.959
P3 0.500 0.959 0.041
P4 0.500 0.500 0.500
N1 0.500 0.353 0.647
N2 0.894 0.500 0.106
N3 0.106 0.894 0.500
N4 0.500 0.106 0.894
N5 0.357 0.973 0.190
N6 0.190 0.357 0.973
N7 0.973 0.190 0.357
N8 0.643 0.810 0.027
N9 0.027 0.643 0.810
N10 0.810 0.027 0.643
N11 0.647 0.500 0.353
N12 0.353 0.647 0.500

[3]
Below is SmPa2PN5 after structural relaxation, with properties calculated at the PBE-GGA level.

## Properties
Raw formation energy in eV/atom: -1.10
Uncorrected energy in eV per atom: -8.96
Size of the total moment in μB per cell: 0.0
V in Å³ per cell: 236
Space-group type: P4/mbm (127)

a b c (Å): 5.405 6.607 6.607
angles (deg): 90.00 90.00 90.00
Positions (direct):
Sm1 0.000 0.500 0.500
Sm2 0.000 0.000 0.000
Pa1 0.500 0.676 0.176
Pa2 0.500 0.176 0.324
Pa3 0.500 0.824 0.676
Pa4 0.500 0.324 0.824
P1 0.000 0.000 0.500
P2 0.000 0.500 0.000
N1 0.500 0.500 0.500
N2 0.500 0.000 0.000
N3 0.236 0.138 0.638
N4 0.236 0.862 0.362
N5 0.236 0.362 0.138
N6 0.236 0.638 0.862
N7 0.764 0.138 0.638
N8 0.764 0.638 0.862
N9 0.764 0.862 0.362
N10 0.764 0.362 0.138

[4]
Below is Sm2PaPN5 after structural relaxation, with properties calculated at the PBE-GGA level.

## Properties
Raw formation energy in eV/atom: -0.86
Uncorrected energy in eV per atom: -8.19
Size of the total moment in μB per cell: 1.9
V in Å³ per cell: 234
Space-group type: P4/mbm (127)

a b c (Å): 5.736 6.384 6.384
angles (deg): 90.00 90.00 90.00
Positions (direct):
Sm1 0.500 0.672 0.172
Sm2 0.500 0.172 0.328
Sm3 0.500 0.828 0.672
Sm4 0.500 0.328 0.828
Pa1 0.000 0.500 0.500
Pa2 0.000 0.000 0.000
P1 0.000 0.000 0.500
P2 0.000 0.500 0.000
N1 0.500 0.500 0.500
N2 0.500 0.000 0.000
N3 0.208 0.139 0.639
N4 0.208 0.861 0.361
N5 0.208 0.361 0.139
N6 0.208 0.639 0.861
N7 0.792 0.139 0.639
N8 0.792 0.639 0.861
N9 0.792 0.861 0.361
N10 0.792 0.361 0.139

[5]
Below is Pa2SnP2N6 after structural relaxation, with properties calculated at the PBE-GGA level.

## Properties
Raw formation energy in eV/atom: -0.72
Uncorrected energy in eV per atom: -8.33
Size of the total moment in μB per cell: 0.0
V in Å³ per cell: 165
Space-group type: P-1 (2)

a b c (Å): 6.000 6.204 6.696
angles (deg): 109.56 93.88 46.51
Positions (direct):
Pa1 0.887 0.297 0.819
Pa2 0.113 0.703 0.181
Sn1 0.500 0.000 0.500
P1 0.151 0.600 0.709
P2 0.849 0.400 0.291
N1 0.351 0.651 0.858
N2 0.090 0.344 0.126
N3 0.982 0.834 0.575
N4 0.910 0.656 0.874
N5 0.018 0.166 0.425
N6 0.649 0.349 0.142

[6]
Below is SrPaPN after structural relaxation, with properties calculated at the PBE-GGA level.

## Properties
Raw formation energy in eV/atom: -1.21
Uncorrected energy in eV per atom: -7.44
Size of the total moment in μB per cell: 0.0
V in Å³ per cell: 83
Space-group type: R3m (160)

a b c (Å): 3.826 3.826 6.930
angles (deg): 73.98 73.98 60.00
Positions (direct):
Sr1 0.505 0.505 0.486
Pa1 0.986 0.986 0.042
P1 0.738 0.738 0.786
N1 0.271 0.271 0.186